! SrCr2F8 (PBE+U, relaxed); values from VASP
! **Raw total energy**: -5.8252 eV/atom
! **Magnetic moment**: 6.00 μB/f.u.
&SYSTEM
  ibrav = 0, nat = 11, ntyp = 3
/
ATOMIC_SPECIES
F 19.00 F.upf
Cr 52.00 Cr.upf
Sr 87.62 Sr.upf
CELL_PARAMETERS angstrom
4.079 -0.069 0.004
-0.118 5.189 -3.856
0.010 0.053 7.617
ATOMIC_POSITIONS angstrom
F 1.058 3.109 3.779
F 2.911 2.063 -0.014
F 2.932 4.067 1.851
F 1.035 1.143 5.684
F 2.935 4.030 -1.920
F 3.078 0.843 3.803
F 0.892 4.330 -0.039
F 1.038 1.106 1.914
Cr 2.925 3.923 -0.034
Cr 1.045 1.250 3.798
Sr 0.010 0.053 7.617